DFT (PBEsol) results for an optimized crystal structure of ZnH2O2.

Spin magnetization (μB/f.u.): 0.00
Final energy (eV/atom): -4.885

abc: 3.1872 3.1872 4.4810
angles: 90.00 90.00 120.00
Space group P-3m1 (No. 164)
Symmetry-distinct sites (fractional):
Zn 0.0000 0.0000 0.0000 x1
H 0.3333 0.6667 0.4490 x2
O 0.3333 0.6667 0.2301 x2

DFT (PBEsol) results for an optimized crystal structure of TaNiP3.

Spin magnetization (μB/f.u.): 0.00
Energy of formation from the pure elements (kJ/mol of formula units): 430

abc: 4.7049 4.7049 4.7049
angles: 90.00 90.00 90.00
Space group Pm-3m (No. 221)
Symmetry-distinct sites (fractional):
Ta 0.0000 0.0000 0.0000 x1
Ni 0.5000 0.5000 0.5000 x1
P 0.0000 0.0000 0.5000 x3

DFT (PBEsol) results for an optimized crystal structure of Sr2YNbS.

Spin magnetization (μB/f.u.): 0.00
Energy relative to the elements, uncorrected (meV/atom): -116

abc: 5.6319 5.6319 4.7186
angles: 90.00 90.00 90.00
Space group P4/mmm (No. 123)
Symmetry-distinct sites (fractional):
Sr 0.0000 0.5000 0.0000 x2
Y 0.0000 0.0000 0.5000 x1
Nb 0.5000 0.5000 0.5000 x1
S 0.5000 0.5000 0.0000 x1

Question: Look up the spin magnetization of the first one.
Answer: 0.00 μB/f.u.